A relaxed structure of BeCr2Br. Source: the Alexandria database, functional PBE.

Results
crystal system: trigonal
size of the total moment: 0.1 μB/f.u.
DOS(E_F): 0.46 states/eV/atom
distance to the lowest polymorph of the same formula: 0.194 eV/atom
ρ: 5.31 g/cm3
ΔE_f (raw): 0.573 eV/atom

a = 7.598 Å, b = 7.598 Å, c = 7.598 Å
α = 23.32°, β = 23.32°, γ = 23.32°
Fractional positions:
Be: 0.500 0.500 0.500
Br: 0.759 0.759 0.759
Cr: 0.990 0.990 0.990
Cr: 0.251 0.251 0.251

---

A relaxed structure of Rb2Np3Se8. Source: the Alexandria database, functional PBE.

Results
crystal system: monoclinic
size of the total moment: 7.0 μB/f.u.
DOS(E_F): 1.79 states/eV/atom
distance to the lowest polymorph of the same formula: 0.000 eV/atom
ρ: 5.24 g/cm3
ΔE_f (raw): -1.057 eV/atom

a = 7.214 Å, b = 8.367 Å, c = 9.314 Å
α = 116.69°, β = 105.40°, γ = 90.00°
Fractional positions:
Se: 0.616 0.677 0.815
Se: 0.042 0.399 0.797
Se: 0.616 0.138 0.815
Se: 0.898 0.094 0.188
Se: 0.384 0.323 0.185
Se: 0.102 0.906 0.812
Se: 0.958 0.601 0.203
Se: 0.384 0.862 0.185
Rb: 0.329 0.265 0.530
Rb: 0.671 0.735 0.470
Np: 0.000 0.254 0.000
Np: 0.500 0.000 0.000
Np: 0.000 0.746 0.000

---

A relaxed structure of Tb5Ho2Er3. Source: the Alexandria database, functional PBE.

Results
crystal system: monoclinic
size of the total moment: 0.0 μB/f.u.
DOS(E_F): 1.95 states/eV/atom
distance to the lowest polymorph of the same formula: 0.000 eV/atom
ρ: 8.37 g/cm3
calculated formation energy: 0.2032 eV/atom

a = 9.456 Å, b = 9.475 Å, c = 9.398 Å
α = 108.29°, β = 108.21°, γ = 112.22°
Fractional positions:
Er: 0.273 0.023 0.045
Er: 0.233 0.779 0.242
Er: 0.727 0.977 0.955
Er: 0.509 0.462 0.242
Er: 0.491 0.538 0.758
Er: 0.767 0.221 0.758
Ho: 0.282 0.735 0.748
Ho: 0.718 0.265 0.252
Ho: 0.034 0.987 0.252
Ho: 0.966 0.013 0.748
Tb: 0.358 0.148 0.756
Tb: 0.642 0.852 0.244
Tb: 0.974 0.724 0.448
Tb: 0.520 0.770 0.540
Tb: 0.898 0.608 0.756
Tb: 0.026 0.276 0.552
Tb: 0.102 0.392 0.244
Tb: 0.778 0.528 0.056
Tb: 0.480 0.230 0.460
Tb: 0.222 0.472 0.944

---

A relaxed structure of PmDy2Y12. Source: the Alexandria database, functional PBE.

Results
crystal system: monoclinic
size of the total moment: 0.0 μB/f.u.
DOS(E_F): 1.69 states/eV/atom
ρ: 5.20 g/cm3
calculated formation energy: 0.1166 eV/atom

a = 6.664 Å, b = 6.664 Å, c = 24.973 Å
α = 96.64°, β = 96.64°, γ = 115.01°
Fractional positions:
Y: 0.181 0.681 0.575
Y: 0.903 0.901 0.202
Y: 0.498 0.497 0.330
Y: 0.597 0.599 0.798
Y: 0.817 0.317 0.425
Y: 0.104 0.604 0.138
Y: 0.666 0.667 0.555
Y: 0.401 0.403 0.202
Y: 0.683 0.183 0.575
Y: 0.557 0.556 0.075
Y: 0.997 0.998 0.330
Y: 0.396 0.896 0.862
Y: 0.895 0.395 0.861
Y: 0.167 0.166 0.555
Y: 0.056 0.057 0.075
Y: 0.503 0.502 0.670
Y: 0.002 0.003 0.670
Y: 0.319 0.819 0.425
Y: 0.943 0.944 0.925
Y: 0.099 0.097 0.798
Y: 0.834 0.833 0.445
Y: 0.605 0.105 0.139
Y: 0.444 0.443 0.925
Y: 0.333 0.334 0.445
Pm: 0.500 0.000 0.001
Pm: 0.000 0.500 0.999
Dy: 0.454 0.954 0.272
Dy: 0.046 0.546 0.728
Dy: 0.955 0.455 0.272
Dy: 0.545 0.045 0.728

---

A relaxed structure of K2CaMg. Source: the Alexandria database, functional PBE.

Results
crystal system: monoclinic
size of the total moment: 0.0 μB/f.u.
DOS(E_F): 0.85 states/eV/atom
ρ: 1.25 g/cm3
calculated formation energy: 0.1988 eV/atom

a = 6.800 Å, b = 6.800 Å, c = 7.203 Å
α = 74.95°, β = 74.95°, γ = 36.39°
Fractional positions:
Ca: 0.224 0.224 0.314
K: 0.774 0.774 0.754
K: 0.001 0.001 0.990
Mg: 0.501 0.501 0.442

---

A relaxed structure of Ac2YI2N2. Source: the Alexandria database, functional PBE.

Results
crystal system: tetragonal
size of the total moment: 1.0 μB/f.u.
DOS(E_F): 0.30 states/eV/atom
ρ: 6.67 g/cm3
ΔE_f (raw): -1.273 eV/atom

a = 4.605 Å, b = 4.605 Å, c = 10.212 Å
α = 103.03°, β = 103.03°, γ = 90.00°
Fractional positions:
I: 0.169 0.169 0.338
I: 0.831 0.831 0.662
Ac: 0.583 0.583 0.166
Ac: 0.417 0.417 0.834
Y: 0.000 0.000 0.000
N: 0.000 0.500 0.000
N: 0.500 0.000 0.000

---

A relaxed structure of La2Ta2Al. Source: the Alexandria database, functional PBE.

Results
crystal system: tetragonal
size of the total moment: 0.0 μB/f.u.
DOS(E_F): 0.87 states/eV/atom
distance to the lowest polymorph of the same formula: 0.000 eV/atom
ρ: 8.88 g/cm3
calculated formation energy: 0.2610 eV/atom

a = 7.252 Å, b = 7.252 Å, c = 4.743 Å
α = 90.00°, β = 90.00°, γ = 90.00°
Fractional positions:
Ta: 0.131 0.369 0.000
Ta: 0.631 0.131 0.000
Ta: 0.369 0.869 0.000
Ta: 0.869 0.631 0.000
La: 0.821 0.321 0.500
La: 0.321 0.179 0.500
La: 0.679 0.821 0.500
La: 0.179 0.679 0.500
Al: 0.000 0.000 0.000
Al: 0.500 0.500 0.000

---

A relaxed structure of AcPu2Th. Source: the Alexandria database, functional PBE.

Results
crystal system: trigonal
size of the total moment: 12.7 μB/f.u.
DOS(E_F): 3.23 states/eV/atom
distance to the lowest polymorph of the same formula: 0.760 eV/atom
ρ: 10.66 g/cm3
calculated formation energy: 0.9922 eV/atom

a = 4.183 Å, b = 4.183 Å, c = 10.028 Å
α = 77.96°, β = 77.96°, γ = 60.00°
Fractional positions:
Pu: 0.886 0.886 0.341
Pu: 0.114 0.114 0.659
Th: 0.500 0.500 0.500
Ac: 0.000 0.000 0.000

---

A relaxed structure of BaZrSc2Ga. Source: the Alexandria database, functional PBE.

Results
crystal system: tetragonal
size of the total moment: 0.0 μB/f.u.
DOS(E_F): 1.44 states/eV/atom
ρ: 3.78 g/cm3
calculated formation energy: 0.8162 eV/atom

a = 5.278 Å, b = 6.127 Å, c = 5.278 Å
α = 90.00°, β = 90.00°, γ = 90.00°
Fractional positions:
Sc: 0.500 0.000 0.000
Sc: 0.000 0.000 0.500
Ga: 0.500 0.500 0.500
Zr: 0.000 0.000 0.000
Ba: 0.000 0.500 0.000

---

A relaxed structure of SrAlIn3. Source: the Alexandria database, functional PBE.

Results
crystal system: cubic
size of the total moment: 0.0 μB/f.u.
DOS(E_F): 0.69 states/eV/atom
distance to the lowest polymorph of the same formula: 0.262 eV/atom
ρ: 4.85 g/cm3
calculated formation energy: 0.0163 eV/atom

a = 5.398 Å, b = 5.398 Å, c = 5.398 Å
α = 90.00°, β = 90.00°, γ = 90.00°
Fractional positions:
In: 0.000 0.500 0.000
In: 0.000 0.000 0.500
In: 0.500 0.000 0.000
Sr: 0.500 0.500 0.500
Al: 0.000 0.000 0.000

---

A relaxed structure of CsTi3Au. Source: the Alexandria database, functional PBE.

Results
crystal system: cubic
size of the total moment: 0.0 μB/f.u.
DOS(E_F): 0.39 states/eV/atom
distance to the lowest polymorph of the same formula: 0.000 eV/atom
ρ: 5.83 g/cm3
calculated formation energy: 0.9803 eV/atom

a = 5.128 Å, b = 5.128 Å, c = 5.128 Å
α = 90.00°, β = 90.00°, γ = 90.00°
Fractional positions:
Ti: 0.000 0.000 0.500
Ti: 0.000 0.500 0.000
Ti: 0.500 0.000 0.000
Au: 0.000 0.000 0.000
Cs: 0.500 0.500 0.500

---

A relaxed structure of CrMoAs2. Source: the Alexandria database, functional PBE.

Results
crystal system: monoclinic
size of the total moment: 2.5 μB/f.u.
DOS(E_F): 0.82 states/eV/atom
distance to the lowest polymorph of the same formula: 0.345 eV/atom
ρ: 7.66 g/cm3
calculated formation energy: 0.1480 eV/atom

a = 4.159 Å, b = 4.159 Å, c = 5.367 Å
α = 78.42°, β = 78.42°, γ = 45.42°
Fractional positions:
Mo: 0.250 0.250 0.250
As: 0.996 0.996 0.003
As: 0.504 0.504 0.497
Cr: 0.750 0.750 0.750